# 1
A plane-wave DFT calculation with PBE was carried out for crystalline RbUAg2S6 at its relaxed geometry.

Lattice parameters (Å, degrees): 9.887 9.887 8.923 111.30 111.30 90.28
Atoms (fractional coordinates):
Rb 0.102 0.898 0.750
Rb 0.898 0.102 0.250
U 0.215 0.785 0.250
U 0.785 0.215 0.750
Ag 0.128 0.408 0.987
Ag 0.408 0.128 0.487
Ag 0.592 0.872 0.513
Ag 0.872 0.592 0.013
S 0.013 0.222 0.688
S 0.083 0.652 0.924
S 0.222 0.013 0.188
S 0.332 0.542 0.278
S 0.348 0.917 0.576
S 0.458 0.668 0.222
S 0.542 0.332 0.778
S 0.652 0.083 0.424
S 0.668 0.458 0.722
S 0.778 0.987 0.812
S 0.917 0.348 0.076
S 0.987 0.778 0.312

**Volume**: 37.38 Å³ per atom
**ΔE_f (raw)**: -13.81 kcal/mol of atoms
**Total energy**: -4.8712 eV per atom

# 2
A plane-wave DFT calculation with PBE was carried out for crystalline RbVAg2S4 at its relaxed geometry.

Lattice parameters (Å, degrees): 6.481 6.481 6.481 117.87 117.87 93.73
Atoms (fractional coordinates):
Rb 0.000 0.000 0.000
V 0.500 0.500 0.000
Ag 0.250 0.750 0.500
Ag 0.750 0.250 0.500
S 0.169 0.169 0.629
S 0.460 0.831 0.000
S 0.540 0.540 0.371
S 0.831 0.460 0.000

**Volume**: 24.78 Å³ per atom
**ΔE_f (raw)**: -14.44 kcal/mol of atoms
**Total energy**: -4.6635 eV per atom

- Which of these has the highest ΔE_f (raw)?
  RbUAg2S6

- Which value of volume does entry 1 give?
  37.38 Å³ per atom

- Among the records above, which one has the lowest ΔE_f (raw)?
  RbVAg2S4

Copy entry 1 word for word.
A plane-wave DFT calculation with PBE was carried out for crystalline RbUAg2S6 at its relaxed geometry.

Lattice parameters (Å, degrees): 9.887 9.887 8.923 111.30 111.30 90.28
Atoms (fractional coordinates):
Rb 0.102 0.898 0.750
Rb 0.898 0.102 0.250
U 0.215 0.785 0.250
U 0.785 0.215 0.750
Ag 0.128 0.408 0.987
Ag 0.408 0.128 0.487
Ag 0.592 0.872 0.513
Ag 0.872 0.592 0.013
S 0.013 0.222 0.688
S 0.083 0.652 0.924
S 0.222 0.013 0.188
S 0.332 0.542 0.278
S 0.348 0.917 0.576
S 0.458 0.668 0.222
S 0.542 0.332 0.778
S 0.652 0.083 0.424
S 0.668 0.458 0.722
S 0.778 0.987 0.812
S 0.917 0.348 0.076
S 0.987 0.778 0.312

**Volume**: 37.38 Å³ per atom
**ΔE_f (raw)**: -13.81 kcal/mol of atoms
**Total energy**: -4.8712 eV per atom